Material: Cd3SiIr
Method: DFT, PBE
State: relaxed

As for the space group: Pm-3m (221). Its uncorrected formation energy is 0.786 eV per atom. For the electronic total energy, the calculation gives -13.10 eV per formula unit. As for the total moment: 0.00 μB per cell. The value obtained for the polymorph energy (0 for the lowest one) is 0 meV per atom.

Cell: 5.1484 5.1484 5.1484 Å, 90.00 90.00 90.00°
With the nearest neighbours (Å) after each atom.
Fractional coordinates of all 5 atoms:
Si  0.5000  0.5000  0.5000  12 Cd 3.64
Ir  0.0000  0.0000  0.0000  6 Cd 2.57
Cd  0.5000  0.0000  0.0000  2 Ir 2.57
Cd  0.0000  0.5000  0.0000  2 Ir 2.57
Cd  0.0000  0.0000  0.5000  2 Ir 2.57